The following is a DFT calculation (PBEsol) of crystalline HfTaMn2Os at its relaxed geometry.

Output
Total moment (μB/f.u.): 4.5
Volume (Å³/cell): 90.72
Energy of formation (kJ/mol of atoms): 205.7

Cell: 4.2948 4.2948 4.9184 Å, 90.00 90.00 90.00°
Closest atoms and distances in Å follow each position.
Sites, in units of the cell vectors:
Hf  0.0000  0.0000  0.0000  4 Mn 2.15
Ta  0.0000  0.0000  0.5000  2 Hf 2.46
Mn  0.0000  0.5000  0.0000  2 Hf 2.15
Mn  0.5000  0.0000  0.0000  2 Hf 2.15
Os  0.5000  0.5000  0.5000  4 Ta 3.04, 8 Mn 3.26